[1]
First-principles (PBEsol) data for crystalline MgTc2Ag at its relaxed geometry, as listed in Alexandria via LeMat-Bulk.

Uncorrected energy in eV/f.u.: -26.69
SG: Pm, No. 6
Total moment in μB per formula unit: 0.0
E_form in eV/atom: 0.22

Cell lengths 2.860, 3.735, 5.889 Å; angles 90.00, 92.60, 90.00 degrees
Atoms (fractional coordinates):
1 Tc 0.026 0.000 0.036
2 Tc 0.462 0.500 0.212
3 Ag 0.997 0.000 0.509
4 Mg 0.514 0.500 0.743

[2]
First-principles (PBEsol) data for crystalline ScHg2Ru at its relaxed geometry, as listed in Alexandria via LeMat-Bulk.

ΔE to the lowest computed polymorph in meV per atom: 142
Uncorrected energy in eV/f.u.: -17.89
SG: F-43m, No. 216
Total moment in μB per formula unit: 0.0
E_form in eV/atom: 0.01

Cell lengths 4.674, 4.674, 4.674 Å; angles 60.00, 60.00, 60.00 degrees
Atoms (fractional coordinates):
1 Hg 0.750 0.750 0.750
2 Hg 0.000 0.000 0.000
3 Sc 0.250 0.250 0.250
4 Ru 0.500 0.500 0.500

[3]
First-principles (PBEsol) data for crystalline ScIr2Os at its relaxed geometry, as listed in Alexandria via LeMat-Bulk.

ΔE to the lowest computed polymorph in meV per atom: 0
Uncorrected energy in eV/f.u.: -38.85
SG: Pmmm, No. 47
Total moment in μB per formula unit: 0.0
E_form in eV/atom: -0.09

Cell lengths 2.923, 4.520, 4.545 Å; angles 90.00, 90.00, 90.00 degrees
Atoms (fractional coordinates):
1 Ir 0.000 0.000 0.000
2 Os 0.500 0.500 0.000
3 Sc 0.000 0.500 0.500
4 Ir 0.500 0.000 0.500

[4]
First-principles (PBEsol) data for crystalline Ba2TaRu at its relaxed geometry, as listed in Alexandria via LeMat-Bulk.

ΔE to the lowest computed polymorph in meV per atom: 903
Uncorrected energy in eV/f.u.: -22.00
SG: Cmmm, No. 65
Total moment in μB per formula unit: 0.0
E_form in eV/atom: 1.26

Cell lengths 3.222, 5.869, 6.043 Å; angles 119.06, 90.00, 90.00 degrees
Atoms (fractional coordinates):
1 Ta 0.500 0.000 0.000
2 Ba 0.000 0.000 0.500
3 Ru 0.500 0.500 0.000
4 Ba 0.000 0.500 0.500